This record from the Alexandria database describes a relaxed structure of InAs2PbO8. The functional is PBEsol.

The space group is P2_1/c (No. 14) and the conventional cell measures 4.9940, 8.4974 and 16.0025 Å, with angles of 90.00, 106.46 and 90.00 degrees. Symmetry generates all atoms from In at (0.2112, 0.0479, 0.3633), As at (0.1693, 0.7106, 0.0115), As at (0.4202, 0.7410, 0.2629), Pb at (0.2694, 0.0203, 0.8778), O at (0.0686, 0.6666, 0.9033), O at (0.0923, 0.2382, 0.4379), O at (0.1861, 0.5867, 0.2309), O at (0.2530, 0.5813, 0.7507), O at (0.3253, 0.6039, 0.5172), O at (0.3591, 0.2448, 0.8028), O at (0.3639, 0.5554, 0.0614) and O at (0.4253, 0.1779, 0.1332).

The total moment comes out at 0.00 μB per atom. The value obtained for the formation energy (no corrections) is -1.199 eV/atom. As for the mass density: 6.1 g/cm3. The density of states at the Fermi level comes out at 2.7 states/eV/f.u.

=====

This record from the Alexandria database describes a relaxed structure of Cr2IrSe. The functional is PBEsol.

The space group is Cm (No. 8) and the conventional cell measures 8.7925, 2.8403 and 4.3991 Å, with angles of 90.00, 95.77 and 90.00 degrees. Symmetry generates all atoms from Cr at (0.0000, 0.0000, 0.0000), Cr at (0.2250, 0.5000, 0.2764), Ir at (0.4614, 0.0000, 0.4662) and Se at (0.2458, 0.0000, 0.8084).

The total moment comes out at 0.07 μB per atom. The value obtained for the formation energy (no corrections) is 0.162 eV/atom. As for the mass density: 11.4 g/cm3. The density of states at the Fermi level comes out at 3.5 states/eV/f.u.

=====

> mass density of number 2 (Cr2IrSe)?

11.4 g/cm3